# 1
Below is LiHoHg after structural relaxation, with properties calculated at the GGA-PBE level.

Cell and atoms, written as CIF:
```
data_LiHoHg
_cell_length_a 7.1068
_cell_length_b 7.1068
_cell_length_c 4.7249
_cell_angle_alpha 90.00
_cell_angle_beta 90.00
_cell_angle_gamma 120.00
_symmetry_space_group_name_H-M 'P -6 2 m'
_symmetry_Int_Tables_number 189
_symmetry_space_group_name_Hall 'P -6 -2'
loop_
_atom_site_label
_atom_site_fract_x
_atom_site_fract_y
_atom_site_fract_z
Li1 0.0000 0.2327 0.0000
Ho1 0.0000 0.5734 0.5000
Hg1 0.0000 0.0000 0.5000
Hg2 0.3333 0.6667 0.0000
```

Summary:
Formation energy ... -0.355 eV/atom
Excess energy over the best structure of this formula in the dataset ... 0.0000 eV per atom
Crystal system ... hexagonal

=====

# 2
Below is Li2Ho5Hg12 after structural relaxation, with properties calculated at the GGA-PBE level.

Cell and atoms, written as CIF:
```
data_Li2Ho5Hg12
_cell_length_a 16.007
_cell_length_b 10.497
_cell_length_c 5.627
_cell_angle_alpha 90.00
_cell_angle_beta 101.14
_cell_angle_gamma 90.00
_symmetry_space_group_name_H-M 'C 1 2/m 1'
_symmetry_Int_Tables_number 12
loop_
_symmetry_equiv_pos_as_xyz
'x,y,z'
'-x,-y,-z'
'-x,y,-z'
'x,-y,z'
'x+1/2,y+1/2,z'
'-x+1/2,-y+1/2,-z'
'-x+1/2,y+1/2,-z'
'x+1/2,-y+1/2,z'
loop_
_atom_site_label
_atom_site_fract_x
_atom_site_fract_y
_atom_site_fract_z
Li1 0.000 0.246 0.000
Ho1 0.000 0.000 0.500
Ho2 0.148 0.500 0.858
Ho3 0.219 0.000 0.576
Hg1 0.057 0.500 0.286
Hg2 0.100 0.246 0.594
Hg3 0.108 0.000 0.036
Hg4 0.195 0.249 0.188
```

Summary:
Formation energy ... -0.253 eV/atom
Crystal system ... monoclinic

=====

Look up the formation energy of the second one. -0.253 eV/atom